# 1
First-principles (PBE-GGA) data for a geometry-optimized K2AlIr structure, as listed in the Alexandria database.

Geometry as POSCAR:
```
K2AlIr
1.0
-2.024 2.024 5.552
2.024 -2.024 5.552
2.024 2.024 -5.552
K Al Ir
2 1 1
Direct
0.250 0.750 0.500 K
0.750 0.250 0.500 K
0.000 0.000 0.000 Al
0.500 0.500 0.000 Ir
```

As for the space-group type: I4/mmm (139).


# 2
First-principles (PBE-GGA) data for a geometry-optimized K2AlIr structure, as listed in the Alexandria database.

Geometry as POSCAR:
```
K2AlIr
1.0
2.917 0.000 0.000
0.000 2.917 0.000
0.000 0.000 11.269
K Al Ir
2 1 1
Direct
0.000 0.000 0.224 K
0.000 0.000 0.776 K
0.500 0.500 0.500 Al
0.500 0.500 0.000 Ir
```

As for the space-group type: P4/mmm (123).


# 3
First-principles (PBE-GGA) data for a geometry-optimized K4AlIr structure, as listed in the Alexandria database.

Geometry as POSCAR:
```
K4AlIr
1.0
0.000 4.597 4.597
4.597 0.000 4.597
4.597 4.597 0.000
K Al Ir
4 1 1
Direct
0.376 0.376 0.376 K
0.376 0.376 0.871 K
0.376 0.871 0.376 K
0.871 0.376 0.376 K
0.000 0.000 0.000 Al
0.750 0.750 0.750 Ir
```

As for the space-group type: F-43m (216).


# 4
First-principles (PBE-GGA) data for a geometry-optimized K2AlIr structure, as listed in the Alexandria database.

Geometry as POSCAR:
```
K2AlIr
1.0
4.724 0.000 0.000
0.000 4.822 0.000
-2.337 0.000 7.836
K Al Ir
2 1 1
Direct
0.124 0.000 0.250 K
0.876 0.000 0.750 K
0.500 0.500 0.000 Al
0.000 0.500 0.000 Ir
```

As for the space-group type: P2/m (10).


# 5
First-principles (PBE-GGA) data for a geometry-optimized K2AlIr structure, as listed in the Alexandria database.

Geometry as POSCAR:
```
K2AlIr
1.0
-1.984 1.984 11.721
1.984 -1.984 11.721
1.984 1.984 -11.721
K Al Ir
4 2 2
Direct
0.121 0.625 0.996 K
0.375 0.371 0.496 K
0.629 0.125 0.004 K
0.875 0.879 0.504 K
0.250 0.750 0.500 Al
0.500 0.500 0.000 Al
0.000 0.000 0.000 Ir
0.750 0.250 0.500 Ir
```

As for the space-group type: I-42d (122).


# 6
First-principles (PBE-GGA) data for a geometry-optimized K2AlIr structure, as listed in the Alexandria database.

Geometry as POSCAR:
```
K2AlIr
1.0
3.547 0.000 0.000
0.000 5.305 0.000
0.000 0.000 5.310
K Al Ir
2 1 1
Direct
0.000 0.000 0.245 K
0.000 0.000 0.755 K
0.500 0.500 0.500 Al
0.500 0.500 0.000 Ir
```

As for the space-group type: Pmmm (47).


| no. | raw total energy (eV per atom) |
| --- | --- |
| 1 | -3.07 |
| 2 | -2.96 |
| 3 | -1.81 |
| 4 | -3.29 |
| 5 | -2.96 |
| 6 | -3.01 |